Record 1
# TbHo3Os

A relaxed TbHo3Os crystal (PBE-GGA, Alexandria).

Values from the calculation:
- DOS at the Fermi energy: 12.22 states/eV per cell
- Symmetry: C2/m, No. 12

Unit cell a=8.841 b=8.841 c=9.491 alpha=105.42 beta=105.42 gamma=23.46
Positions (direct):
Tb  0.192  0.192  0.305
Tb  0.808  0.808  0.695
Ho  0.185  0.185  0.872
Ho  0.401  0.401  0.459
Ho  0.499  0.499  0.824
Ho  0.501  0.501  0.176
Ho  0.599  0.599  0.541
Ho  0.815  0.815  0.128
Os  0.363  0.363  0.936
Os  0.637  0.637  0.064


Record 2
# Ni2AsPt

A relaxed Ni2AsPt crystal (PBE-GGA, Alexandria).

Values from the calculation:
- DOS at the Fermi energy: 4.70 states/eV per cell
- Symmetry: Pmm2, No. 25

Unit cell a=2.906 b=3.444 c=5.366 alpha=90.00 beta=90.00 gamma=90.00
Positions (direct):
Ni  0.000  0.000  0.000
Ni  0.500  0.500  0.228
As  0.500  0.500  0.786
Pt  0.000  0.000  0.486


Record 3
# Ti3NbS8

A relaxed Ti3NbS8 crystal (PBE-GGA, Alexandria).

Values from the calculation:
- Formation energy from raw total energies: -1.21 eV per atom
- DOS at the Fermi energy: 3.67 states/eV per cell
- Symmetry: C2/m, No. 12

Unit cell a=6.799 b=6.799 c=7.789 alpha=116.52 beta=116.52 gamma=59.99
Positions (direct):
Ti  0.000  0.000  0.000
Ti  0.000  0.500  0.000
Ti  0.500  0.000  0.000
Nb  0.500  0.500  0.000
S  0.237  0.744  0.220
S  0.240  0.240  0.214
S  0.256  0.256  0.780
S  0.256  0.763  0.780
S  0.744  0.237  0.220
S  0.744  0.744  0.220
S  0.760  0.760  0.786
S  0.763  0.256  0.780


Record 4
# Hg2Br3N2

A relaxed Hg2Br3N2 crystal (PBE-GGA, Alexandria).

Values from the calculation:
- Formation energy from raw total energies: 0.82 eV per atom
- DOS at the Fermi energy: 2.76 states/eV per cell
- Symmetry: P-1, No. 2

Unit cell a=4.852 b=5.621 c=8.308 alpha=96.05 beta=98.59 gamma=100.38
Positions (direct):
Hg  0.134  0.070  0.158
Hg  0.866  0.930  0.842
Br  0.000  0.500  0.000
Br  0.293  0.772  0.543
Br  0.707  0.228  0.457
N  0.325  0.177  0.416
N  0.675  0.823  0.584


Record 5
# Cu2SnOs

A relaxed Cu2SnOs crystal (PBE-GGA, Alexandria).

Values from the calculation:
- DOS at the Fermi energy: 5.90 states/eV per cell
- Symmetry: I-42d, No. 122

Unit cell a=9.678 b=9.678 c=9.678 alpha=157.43 beta=157.43 gamma=32.13
Positions (direct):
Cu  0.094  0.625  0.969
Cu  0.375  0.344  0.469
Cu  0.656  0.125  0.031
Cu  0.875  0.906  0.531
Sn  0.250  0.750  0.500
Sn  0.500  0.500  0.000
Os  0.000  0.000  0.000
Os  0.750  0.250  0.500


Record 6
# Y15Er2Tm2

A relaxed Y15Er2Tm2 crystal (PBE-GGA, Alexandria).

Values from the calculation:
- DOS at the Fermi energy: 35.08 states/eV per cell
- Symmetry: R-3m, No. 166

Unit cell a=8.751 b=8.751 c=8.751 alpha=79.17 beta=79.17 gamma=79.17
Positions (direct):
Y  0.000  0.000  0.500
Y  0.000  0.299  0.701
Y  0.000  0.500  0.000
Y  0.000  0.701  0.299
Y  0.149  0.628  0.628
Y  0.299  0.000  0.701
Y  0.299  0.701  0.000
Y  0.372  0.372  0.851
Y  0.372  0.851  0.372
Y  0.500  0.000  0.000
Y  0.628  0.149  0.628
Y  0.628  0.628  0.149
Y  0.701  0.000  0.299
Y  0.701  0.299  0.000
Y  0.851  0.372  0.372
Er  0.318  0.318  0.318
Er  0.682  0.682  0.682
Tm  0.095  0.095  0.095
Tm  0.905  0.905  0.905


Record 7
# Rb2HfGaS5

A relaxed Rb2HfGaS5 crystal (PBE-GGA, Alexandria).

Values from the calculation:
- Formation energy from raw total energies: -1.11 eV per atom
- DOS at the Fermi energy: 6.37 states/eV per cell
- Symmetry: Cmc2_1, No. 36

Unit cell a=10.129 b=10.129 c=14.246 alpha=90.00 beta=90.00 gamma=158.98
Positions (direct):
Rb  0.129  0.871  0.500
Rb  0.131  0.869  0.125
Rb  0.869  0.131  0.625
Rb  0.871  0.129  0.000
Hf  0.208  0.792  0.833
Hf  0.792  0.208  0.333
Ga  0.429  0.571  0.243
Ga  0.571  0.429  0.743
S  0.067  0.933  0.842
S  0.298  0.702  0.451
S  0.313  0.687  0.205
S  0.328  0.672  0.814
S  0.490  0.510  0.112
S  0.510  0.490  0.612
S  0.672  0.328  0.314
S  0.687  0.313  0.705
S  0.702  0.298  0.951
S  0.933  0.067  0.342


Record 8
# LiPSe4

A relaxed LiPSe4 crystal (PBE-GGA, Alexandria).

Values from the calculation:
- Formation energy from raw total energies: 0.53 eV per atom
- DOS at the Fermi energy: 4.97 states/eV per cell
- Symmetry: F-43m, No. 216

Unit cell a=5.673 b=5.673 c=5.673 alpha=60.00 beta=60.00 gamma=60.00
Positions (direct):
Li  0.000  0.000  0.000
P  0.750  0.750  0.750
Se  0.376  0.376  0.376
Se  0.376  0.376  0.872
Se  0.376  0.872  0.376
Se  0.872  0.376  0.376


Number 1: calculated total energy -5.898 eV/atom. Number 2: calculated total energy -5.629 eV/atom. Number 3: calculated total energy -6.772 eV/atom. Number 4: calculated total energy -2.366 eV/atom. Number 5: calculated total energy -5.238 eV/atom. Number 6: calculated total energy -5.750 eV/atom. Number 7: calculated total energy -5.056 eV/atom. Number 8: calculated total energy -3.018 eV/atom.